Record 1
# AsRuSN2

AsRuSN2 after structural relaxation (PBE, Alexandria).

Output
E_form (uncorrected) in meV/atom: 935
Electronic total energy in eV per atom: -6.006
D(E_F) in states/eV/cell: 3.3

extended XYZ file:
```
5
Lattice="3.796 0.000 0.000 0.000 3.796 0.000 0.000 0.000 5.080" Properties=species:S:1:pos:R:3 pbc="T T T"
As 1.898 1.898 2.540
N 1.898 0.000 0.000
N 0.000 1.898 0.000
Ru 0.000 0.000 0.000
S 0.000 0.000 2.540
```

---

Record 2
# Sr2AsRuN

Sr2AsRuN after structural relaxation (PBE, Alexandria).

Output
E_form (uncorrected) in meV/atom: -546
Electronic total energy in eV per atom: -5.669
D(E_F) in states/eV/cell: 2.5

extended XYZ file:
```
5
Lattice="-2.467 4.757 0.462 -1.460 -1.245 5.024 3.242 1.552 1.327" Properties=species:S:1:pos:R:3 pbc="T T T"
N 0.000 0.000 0.000
Sr -1.233 2.378 0.231
Sr -0.730 -0.623 2.512
Ru 1.621 0.776 0.663
As -0.342 2.532 3.407
```

---

Record 3
# ThAsRuN

ThAsRuN after structural relaxation (PBE, Alexandria).

Output
E_form (uncorrected) in meV/atom: -1193
Electronic total energy in eV per atom: -8.610
D(E_F) in states/eV/cell: 2.6

extended XYZ file:
```
8
Lattice="4.143 0.000 0.000 0.000 4.143 0.000 0.000 0.000 8.435" Properties=species:S:1:pos:R:3 pbc="T T T"
As 0.000 2.071 2.916
As 2.071 0.000 5.519
Ru 0.000 0.000 4.218
Ru 2.071 2.071 4.218
N 2.071 2.071 0.000
N 0.000 0.000 0.000
Th 0.000 2.071 7.305
Th 2.071 0.000 1.130
```

---

Record 4
# UAsRuN

UAsRuN after structural relaxation (PBE, Alexandria).

Output
E_form (uncorrected) in meV/atom: -933
Electronic total energy in eV per atom: -9.318
D(E_F) in states/eV/cell: 9.8

extended XYZ file:
```
8
Lattice="-2.287 -0.524 3.276 -3.275 -0.274 -2.330 1.023 -7.761 -0.526" Properties=species:S:1:pos:R:3 pbc="T T T"
U -0.490 -5.214 1.302
U -1.267 -2.946 -1.356
As -0.790 -6.564 -1.601
As -0.967 -1.596 1.547
N -2.269 -4.280 0.210
N 0.512 -3.881 -0.263
Ru 0.000 0.000 0.000
Ru -2.781 -0.399 0.473
```

---

Record 5
# ZnAs2RuN

ZnAs2RuN after structural relaxation (PBE, Alexandria).

Output
E_form (uncorrected) in meV/atom: 516
Electronic total energy in eV per atom: -5.119
D(E_F) in states/eV/cell: 2.1

extended XYZ file:
```
5
Lattice="-4.722 -1.314 -1.111 1.244 -2.611 -2.199 -0.003 -3.239 3.843" Properties=species:S:1:pos:R:3 pbc="T T T"
N 0.622 -1.305 -1.100
Zn -1.741 -3.582 0.266
As -2.361 -0.657 -0.556
As -0.002 -1.620 1.922
Ru 0.000 0.000 0.000
```

---

Record 6
# ZrAsRuN

ZrAsRuN after structural relaxation (PBE, Alexandria).

Output
E_form (uncorrected) in meV/atom: -811
Electronic total energy in eV per atom: -8.511
D(E_F) in states/eV/cell: 3.2

extended XYZ file:
```
8
Lattice="-3.679 0.569 -1.426 -1.529 -1.695 3.268 -0.275 7.009 3.507" Properties=species:S:1:pos:R:3 pbc="T T T"
Ru 0.000 0.000 0.000
Ru -2.604 -0.563 0.921
Zr -2.009 4.603 1.448
Zr -0.870 1.843 2.980
N -2.741 2.941 2.674
N -0.137 3.504 1.753
As -0.991 4.922 4.521
As -1.888 1.524 -0.093
```

---

Record 7
# ZrAs2RuN

ZrAs2RuN after structural relaxation (PBE, Alexandria).

Output
E_form (uncorrected) in meV/atom: 970
Electronic total energy in eV per atom: -6.120
D(E_F) in states/eV/cell: 6.1

extended XYZ file:
```
5
Lattice="5.239 0.000 0.000 0.000 4.012 0.000 0.000 0.000 5.239" Properties=species:S:1:pos:R:3 pbc="T T T"
As 0.000 0.000 2.619
As 2.619 0.000 0.000
Ru 2.619 2.006 2.619
N 0.000 2.006 0.000
Zr 0.000 0.000 0.000
```

---

Record 8
# ZrAs2RuN

ZrAs2RuN after structural relaxation (PBE, Alexandria).

Output
E_form (uncorrected) in meV/atom: 1864
Electronic total energy in eV per atom: -5.226
D(E_F) in states/eV/cell: 4.3

extended XYZ file:
```
5
Lattice="-5.140 0.630 -0.501 -0.319 -4.371 -2.223 -0.731 -2.293 4.612" Properties=species:S:1:pos:R:3 pbc="T T T"
Ru -0.160 -2.185 -1.112
As -2.570 0.315 -0.250
As -0.365 -1.146 2.306
Zr 0.000 0.000 0.000
N -3.095 -3.017 0.944
```

---

Record 9
# AsSN3

AsSN3 after structural relaxation (PBE, Alexandria).

Output
E_form (uncorrected) in meV/atom: 2048
Electronic total energy in eV per atom: -4.703
D(E_F) in states/eV/cell: 2.9

extended XYZ file:
```
5
Lattice="-1.917 0.655 3.137 3.002 -0.912 2.025 1.121 3.561 -0.059" Properties=species:S:1:pos:R:3 pbc="T T T"
N 0.561 1.781 -0.029
N -0.958 0.328 1.568
N 1.501 -0.456 1.012
S 1.103 1.652 2.551
As 0.000 0.000 0.000
```

---

Record 10
# AsS2N2

AsS2N2 after structural relaxation (PBE, Alexandria).

Output
E_form (uncorrected) in meV/atom: 1409
Electronic total energy in eV per atom: -4.502
D(E_F) in states/eV/cell: 3.8

extended XYZ file:
```
5
Lattice="3.568 0.000 0.000 0.000 3.568 0.000 0.000 0.000 6.609" Properties=species:S:1:pos:R:3 pbc="T T T"
S 1.784 1.784 3.304
S 0.000 0.000 3.304
N 1.784 0.000 0.000
N 0.000 1.784 0.000
As 0.000 0.000 0.000
```

---

Record 11
# AsS2N2

AsS2N2 after structural relaxation (PBE, Alexandria).

Output
E_form (uncorrected) in meV/atom: 1757
Electronic total energy in eV per atom: -4.154
D(E_F) in states/eV/cell: 2.0

extended XYZ file:
```
5
Lattice="3.973 0.000 0.000 0.000 3.973 0.000 0.000 0.000 3.957" Properties=species:S:1:pos:R:3 pbc="T T T"
N 0.000 0.000 0.000
N 0.000 0.000 1.979
S 0.000 1.986 0.000
S 1.986 0.000 0.000
As 1.986 1.986 1.979
```

---

Record 12
# As3SN

As3SN after structural relaxation (PBE, Alexandria).

Output
E_form (uncorrected) in meV/atom: 971
Electronic total energy in eV per atom: -4.309
D(E_F) in states/eV/cell: 3.8

extended XYZ file:
```
5
Lattice="-0.740 -3.381 -2.701 3.997 0.517 -1.741 1.659 -2.753 2.991" Properties=species:S:1:pos:R:3 pbc="T T T"
As -0.370 -1.690 -1.351
As 1.998 0.258 -0.871
As 0.829 -1.376 1.495
N 0.000 0.000 0.000
S 2.458 -2.808 -0.726
```